SrCo2Rh2 GGA-PBE optimized geometry; polymorph energy (0 for the lowest one) = 0 meV per atom; ΔH_f (0 K) = 73 meV/atom; calculated density = 7.7 g cm⁻³; space group = No. 139
1.0
-2.1379 2.1379 4.8542
2.1379 -2.1379 4.8542
2.1379 2.1379 -4.8542
Sr Co Rh
1 2 2
Direct
0.0000 0.0000 0.0000 Sr
0.3799 0.3799 0.0000 Co
0.6201 0.6201 0.0000 Co
0.2500 0.7500 0.5000 Rh
0.7500 0.2500 0.5000 Rh